Crystalline NaLa3As at its relaxed geometry, computed with PBE.

Cell: 5.8570 5.8570 5.8570 Å, 90.00 90.00 90.00°
With the nearest neighbours (Å) after each atom.
Space group Pm-3m (No. 221)
Inequivalent atoms, fractional coordinates:
Na  0.0000  0.0000  0.0000 [1 per cell]  12 La 4.14
La  0.0000  0.5000  0.5000 [3 per cell]  2 As 2.93
As  0.5000  0.5000  0.5000 [1 per cell]  6 La 2.93

total magnetic moment = 0.0 μB/cell
relative energy among the computed polymorphs = 0.000 eV per atom
DOS at the Fermi energy = 1.875 states/eV/atom

---

Crystalline MnPtSe at its relaxed geometry, computed with PBE.

Cell: 6.1364 6.1364 6.1364 Å, 90.00 90.00 90.00°
With the nearest neighbours (Å) after each atom.
Space group F-43m (No. 216)
Inequivalent atoms, fractional coordinates:
Mn  0.0000  0.0000  0.0000 [4 per cell]  4 Pt 2.66
Pt  0.2500  0.2500  0.7500 [4 per cell]  4 Mn 2.66, 4 Se 2.66
Se  0.0000  0.0000  0.5000 [4 per cell]  4 Pt 2.66

total magnetic moment = 19.1 μB/cell
relative energy among the computed polymorphs = 0.000 eV per atom
DOS at the Fermi energy = 0.244 states/eV/atom